(1)
# SrLiW4

A relaxed structure of SrLiW4 (PBE, Alexandria via LeMat-Bulk).

a = 5.5142 Å, b = 5.5142 Å, c = 5.5142 Å
α = 60.00°, β = 60.00°, γ = 60.00°
Sites, in units of the cell vectors:
Sr1 0.0000 0.0000 0.0000
Li1 0.2500 0.2500 0.2500
W1 0.1260 0.6247 0.6247
W2 0.6247 0.1260 0.6247
W3 0.6247 0.6247 0.1260
W4 0.6247 0.6247 0.6247

Total magnetization (μB/f.u.): 0.0
Space-group type: F-43m (216)
ΔH_f (0 K) (eV per atom): 0.88

---

(2)
# SrLi4W

A relaxed structure of SrLi4W (PBE, Alexandria via LeMat-Bulk).

a = 5.6037 Å, b = 5.6037 Å, c = 5.6037 Å
α = 60.00°, β = 60.00°, γ = 60.00°
Sites, in units of the cell vectors:
Sr1 0.0000 0.0000 0.0000
Li1 0.3785 0.3785 0.3785
Li2 0.3785 0.3785 0.8644
Li3 0.3785 0.8644 0.3785
Li4 0.8644 0.3785 0.3785
W1 0.7500 0.7500 0.7500

Total magnetization (μB/f.u.): 2.5
Space-group type: F-43m (216)
ΔH_f (0 K) (eV per atom): 0.68

---

(3)
# SrLiW3

A relaxed structure of SrLiW3 (PBE, Alexandria via LeMat-Bulk).

a = 4.8474 Å, b = 4.8474 Å, c = 4.8474 Å
α = 90.00°, β = 90.00°, γ = 90.00°
Sites, in units of the cell vectors:
Sr1 0.0000 0.0000 0.0000
Li1 0.5000 0.5000 0.5000
W1 0.0000 0.0000 0.5000
W2 0.0000 0.5000 0.0000
W3 0.5000 0.0000 0.0000

Total magnetization (μB/f.u.): 0.0
Space-group type: Pm-3m (221)
ΔH_f (0 K) (eV per atom): 3.55
E above lowest polymorph (meV per atom): 1602

---

Q: Number 3 is which compound?
A: SrLiW3

---

Repeat the first record exactly.
# SrLiW4

A relaxed structure of SrLiW4 (PBE, Alexandria via LeMat-Bulk).

a = 5.5142 Å, b = 5.5142 Å, c = 5.5142 Å
α = 60.00°, β = 60.00°, γ = 60.00°
Sites, in units of the cell vectors:
Sr1 0.0000 0.0000 0.0000
Li1 0.2500 0.2500 0.2500
W1 0.1260 0.6247 0.6247
W2 0.6247 0.1260 0.6247
W3 0.6247 0.6247 0.1260
W4 0.6247 0.6247 0.6247

Total magnetization (μB/f.u.): 0.0
Space-group type: F-43m (216)
ΔH_f (0 K) (eV per atom): 0.88

---

Q: Among the records above, which one has the highest total magnetization?
A: SrLi4W

---

Q: Which of these has the highest ΔH_f (0 K)?
A: SrLiW3